VASP calculation (meta-GGA SCAN) on a PBEsol-optimized structure of SrMgZn2Co.

abc: 5.5123 5.5123 4.9181
angles: 90.00 90.00 90.00
Last column: nearest neighbours and their distance in Å.
Space group P4/mmm (No. 123)
Inequivalent atoms, fractional coordinates:
Sr 0.0000 0.0000 0.0000 (multiplicity 1)  2 Co 2.46
Mg 0.5000 0.5000 0.5000 (multiplicity 1)  8 Zn 3.69, 4 Co 3.90
Zn 0.0000 0.5000 0.0000 (multiplicity 2)  2 Sr 2.76
Co 0.0000 0.0000 0.5000 (multiplicity 1)  2 Sr 2.46

Values from the calculation:
DOS(E_F)   2.27 states/eV/f.u.
Energy relative to the elements   1.276 eV/atom
DFT total energy   -0.4792 hartree per atom